# 1
## Ce2Hg2Pd5 (PBE)

Data for a relaxed Ce2Hg2Pd5 crystal.

Unit cell a=11.157 b=5.181 c=7.560 alpha=90.00 beta=118.18 gamma=90.00
Space group C2/m (No. 12)
Asymmetric unit:
1 Ce 0.153 0.000 0.323
2 Hg 0.170 0.500 0.916
3 Pd 0.000 0.500 0.500
4 Pd 0.104 0.500 0.229
5 Pd 0.121 0.000 0.679

Values from the calculation:
The formation energy comes out at -377.1 meV per atom. For the density of states at the Fermi level, the calculation gives 1.56 states/eV/atom.



# 2
## LiFeAs2Br (PBE)

Data for a relaxed LiFeAs2Br crystal.

Unit cell a=4.541 b=4.541 c=4.998 alpha=90.00 beta=90.00 gamma=90.00
Space group P4/mmm (No. 123)
Asymmetric unit:
1 Li 0.000 0.000 0.000
2 Fe 0.500 0.500 0.500
3 As 0.000 0.500 0.000
4 Br 0.000 0.000 0.500

Values from the calculation:
For the energy relative to the lowest polymorph listed for this composition, the calculation gives 0.7870 eV/atom. For the raw formation energy, the calculation gives 3.6 eV per formula unit. For the density of states at the Fermi level, the calculation gives 1.31 states/eV/atom.



# 3
## CsMgP (PBE)

Data for a relaxed CsMgP crystal.

Unit cell a=4.294 b=4.295 c=13.335 alpha=81.96 beta=85.55 gamma=66.51
Space group P1 (No. 1)
Asymmetric unit:
1 Cs 0.000 0.000 0.000
2 Cs 0.454 0.263 0.588
3 Mg 0.286 0.213 0.224
4 Mg 0.775 0.657 0.363
5 P 0.130 0.995 0.416
6 P 0.649 0.593 0.171

Values from the calculation:
The formation energy comes out at -409.6 meV per atom. For the density of states at the Fermi level, the calculation gives 0.04 states/eV/atom.